DFT (GGA-PBE) results for crystalline Ga3GeI at its relaxed geometry.

Space-group type   Pm-3m (221)
ΔE_f (raw)   76 kJ/mol of formula units

abc: 5.2459 5.2459 5.2459
angles: 90.00 90.00 90.00
Positions (direct):
Ga 0.0000 0.0000 0.5000
Ga 0.0000 0.5000 0.0000
Ga 0.5000 0.0000 0.0000
Ge 0.0000 0.0000 0.0000
I 0.5000 0.5000 0.5000